# 1
CdSbAs2 | PBE | relaxed

Output
* formation energy without anion corrections: 298 meV per atom
* D(E_F): 0.52 states/eV/atom
* total magnetization: 0.000 μB/atom
* distance to the lowest polymorph of the same formula: 252 meV/atom

abc: 3.1934 3.1934 9.6967
angles: 90.00 90.00 110.43
Fractional positions:
Cd: 0.0000 0.0000 0.4868
As: 0.5000 0.5000 0.2219
As: 0.0000 0.0000 0.0305
Sb: 0.5000 0.5000 0.7607


# 2
Ca2MnTcN5 | PBE | relaxed

Output
* formation energy without anion corrections: -426 meV per atom
* D(E_F): 0.20 states/eV/atom
* total magnetization: 0.111 μB/atom

abc: 3.1396 7.3656 10.0206
angles: 90.00 90.00 102.31
Each line ends with the local moment (μB).
Fractional positions:
N: 0.3247 0.6493 0.3907  -0.03
N: 0.2973 0.5945 0.6527  -0.03
N: 0.4978 0.9955 0.2896  0.07
N: 0.9664 0.9328 0.5234  -0.06
N: 0.6753 0.3507 0.8907  -0.03
N: 0.5022 0.0045 0.7896  0.07
N: 0.6613 0.3227 0.5024  -0.01
N: 0.0336 0.0672 0.0234  -0.06
N: 0.3387 0.6773 0.0024  -0.01
N: 0.7027 0.4055 0.1527  -0.03
Tc: 0.7820 0.5640 0.5270  -0.40
Tc: 0.2180 0.4360 0.0270  -0.40
Ca: 0.8831 0.7661 0.1893  0.02
Ca: 0.8739 0.7477 0.8083  0.01
Ca: 0.1261 0.2523 0.3083  0.01
Ca: 0.1169 0.2339 0.6893  0.02
Mn: 0.5541 0.1081 0.9404  1.32
Mn: 0.4459 0.8919 0.4404  1.32